Entry from Alexandria via LeMat-Bulk: a crystal of Al2Cu2Bi2S3Cl8 relaxed with PBEsol (meta-GGA SCAN).

Computed properties:
Formation energy without anion corrections ... -1.071 eV per atom
Theoretical density ... 3.8 g/cm3

Cell and atoms, written as extended XYZ:
```
34
Lattice="6.507 0.000 0.000 -3.254 5.635 0.000 0.000 0.000 23.217" Properties=species:S:1:pos:R:3 pbc="T T T"
Al 0.000 3.757 1.843
Al 0.000 3.757 9.765
Al 3.254 1.878 13.452
Al 3.254 1.878 21.374
Cu 0.000 0.000 5.804
Cu 0.000 0.000 17.413
Cu 0.000 3.757 5.804
Cu 3.254 1.878 17.413
Bi 0.000 3.757 15.686
Bi 0.000 3.757 19.140
Bi 3.254 1.878 4.077
Bi 3.254 1.878 7.531
S -2.063 3.759 17.413
S 1.029 1.969 17.413
S 2.220 0.093 5.804
S 1.033 5.542 17.413
S 2.224 3.666 5.804
S 5.316 1.876 5.804
Cl -1.940 4.209 2.693
Cl -1.940 4.209 8.916
Cl 0.579 1.851 2.693
Cl 0.579 1.851 8.916
Cl 1.892 0.424 14.301
Cl 1.892 0.424 20.525
Cl 0.000 3.757 11.866
Cl 0.000 3.757 22.960
Cl 3.254 1.878 0.257
Cl 3.254 1.878 11.351
Cl 1.361 5.211 2.693
Cl 1.361 5.211 8.916
Cl 2.675 3.784 14.301
Cl 2.675 3.784 20.525
Cl 5.194 1.427 14.301
Cl 5.194 1.427 20.525
```